Entry 1:
# In2RePd | Alexandria via LeMat-Bulk | PBE | optimized geometry
data_In2RePd
_cell_length_a 4.649
_cell_length_b 4.649
_cell_length_c 4.649
_cell_angle_alpha 60.00
_cell_angle_beta 60.00
_cell_angle_gamma 60.00
_space_group_name_H-M_alt 'P 1'
_space_group_IT_number 1
_space_group_name_Hall 'P 1'
loop_
_atom_site_label
_atom_site_fract_x
_atom_site_fract_y
_atom_site_fract_z
In1 0.250 0.250 0.250
In2 0.750 0.750 0.750
Re1 0.500 0.500 0.500
Pd1 0.000 0.000 0.000
# - Space group: Fm-3m (225)
# - M_tot: 0.000 Bohr magnetons per cell
# - Fermi-level density of states: 2.135 states/eV/f.u.
# - V: 17.8 Å³/atom
# - Polymorph energy (0 for the lowest one): 0.000 eV/atom
# - Formation energy: 96.9 kJ/mol of formula units

---

Entry 2:
# KSnPt3 | Alexandria via LeMat-Bulk | PBE | optimized geometry
data_KSnPt3
_cell_length_a 4.990
_cell_length_b 4.990
_cell_length_c 4.990
_cell_angle_alpha 90.00
_cell_angle_beta 90.00
_cell_angle_gamma 90.00
_space_group_name_H-M_alt 'P 1'
_space_group_IT_number 1
_space_group_name_Hall 'P 1'
loop_
_atom_site_label
_atom_site_fract_x
_atom_site_fract_y
_atom_site_fract_z
K1 0.000 0.000 0.000
Sn1 0.500 0.500 0.500
Pt1 0.000 0.500 0.000
Pt2 0.000 0.000 0.500
Pt3 0.500 0.000 0.000
# - Space group: Pm-3m (221)
# - M_tot: 0.000 Bohr magnetons per cell
# - Fermi-level density of states: 5.609 states/eV/f.u.
# - V: 24.8 Å³/atom
# - Polymorph energy (0 for the lowest one): 1.333 eV/atom
# - Formation energy: 830.3 kJ/mol of formula units

---

Entry 3:
# TbYHg | Alexandria via LeMat-Bulk | PBE | optimized geometry
data_TbYHg
_cell_length_a 3.636
_cell_length_b 3.636
_cell_length_c 6.928
_cell_angle_alpha 105.21
_cell_angle_beta 105.21
_cell_angle_gamma 90.00
_space_group_name_H-M_alt 'P 1'
_space_group_IT_number 1
_space_group_name_Hall 'P 1'
loop_
_atom_site_label
_atom_site_fract_x
_atom_site_fract_y
_atom_site_fract_z
Y1 0.014 0.014 0.027
Tb1 0.320 0.320 0.639
Hg1 0.667 0.667 0.333
# - Space group: I4mm (107)
# - M_tot: 1.050 Bohr magnetons per cell
# - Fermi-level density of states: 3.214 states/eV/f.u.
# - V: 28.3 Å³/atom
# - Polymorph energy (0 for the lowest one): 0.066 eV/atom
# - Formation energy: -90.4 kJ/mol of formula units

---

Entry 4:
# Mg2BeTe | Alexandria via LeMat-Bulk | PBE | optimized geometry
data_Mg2BeTe
_cell_length_a 3.846
_cell_length_b 3.846
_cell_length_c 5.750
_cell_angle_alpha 90.00
_cell_angle_beta 90.00
_cell_angle_gamma 90.00
_space_group_name_H-M_alt 'P 1'
_space_group_IT_number 1
_space_group_name_Hall 'P 1'
loop_
_atom_site_label
_atom_site_fract_x
_atom_site_fract_y
_atom_site_fract_z
Mg1 0.500 0.500 0.267
Te1 0.000 0.000 0.473
Be1 0.500 0.500 0.800
Mg2 0.000 0.000 0.960
# - Space group: P4mm (99)
# - M_tot: 0.000 Bohr magnetons per cell
# - Fermi-level density of states: 2.331 states/eV/f.u.
# - V: 21.3 Å³/atom
# - Polymorph energy (0 for the lowest one): 0.168 eV/atom
# - Raw formation energy: 0.7 eV/f.u.

---

Entry 5:
# PmEr2Hg4 | Alexandria via LeMat-Bulk | PBE | optimized geometry
data_PmEr2Hg4
_cell_length_a 5.125
_cell_length_b 6.412
_cell_length_c 6.412
_cell_angle_alpha 111.76
_cell_angle_beta 90.00
_cell_angle_gamma 90.00
_space_group_name_H-M_alt 'P 1'
_space_group_IT_number 1
_space_group_name_Hall 'P 1'
loop_
_atom_site_label
_atom_site_fract_x
_atom_site_fract_y
_atom_site_fract_z
Pm1 0.500 0.500 0.500
Hg1 0.500 0.000 0.500
Er1 0.000 0.755 0.245
Hg2 0.500 0.500 0.000
Hg3 0.000 0.226 0.226
Hg4 0.000 0.774 0.774
Er2 0.000 0.245 0.755
# - Space group: Cmmm (65)
# - M_tot: 0.000 Bohr magnetons per cell
# - Fermi-level density of states: 4.309 states/eV/f.u.
# - V: 28.0 Å³/atom
# - Polymorph energy (0 for the lowest one): 0.000 eV/atom
# - Formation energy: -251.5 kJ/mol of formula units

---

Entry 6:
# Mn2TlCo | Alexandria via LeMat-Bulk | PBE | optimized geometry
data_Mn2TlCo
_cell_length_a 3.040
_cell_length_b 3.034
_cell_length_c 7.554
_cell_angle_alpha 66.26
_cell_angle_beta 90.00
_cell_angle_gamma 90.00
_space_group_name_H-M_alt 'P 1'
_space_group_IT_number 1
_space_group_name_Hall 'P 1'
loop_
_atom_site_label
_atom_site_fract_x
_atom_site_fract_y
_atom_site_fract_z
Co1 0.500 0.750 0.750
Tl1 0.500 0.250 0.250
Mn1 0.000 0.449 0.552
Mn2 0.000 0.051 0.948
# - Space group: P2/m (10)
# - M_tot: 8.843 Bohr magnetons per cell
# - Fermi-level density of states: 2.022 states/eV/f.u.
# - V: 15.9 Å³/atom
# - Polymorph energy (0 for the lowest one): 0.000 eV/atom
# - Formation energy: 114.5 kJ/mol of formula units

---

Entry 7:
# Hf2SbTe | Alexandria via LeMat-Bulk | PBE | optimized geometry
data_Hf2SbTe
_cell_length_a 6.463
_cell_length_b 6.463
_cell_length_c 7.905
_cell_angle_alpha 65.87
_cell_angle_beta 65.87
_cell_angle_gamma 90.00
_space_group_name_H-M_alt 'P 1'
_space_group_IT_number 1
_space_group_name_Hall 'P 1'
loop_
_atom_site_label
_atom_site_fract_x
_atom_site_fract_y
_atom_site_fract_z
Sb1 0.250 0.750 0.500
Hf1 0.875 0.872 0.750
Hf2 0.622 0.125 0.250
Te1 0.000 0.000 0.000
Hf3 0.128 0.625 0.250
Te2 0.750 0.250 0.500
Hf4 0.375 0.378 0.750
Sb2 0.500 0.500 0.000
# - Space group: I-42d (122)
# - M_tot: 0.000 Bohr magnetons per cell
# - Fermi-level density of states: 4.119 states/eV/f.u.
# - V: 33.7 Å³/atom
# - Polymorph energy (0 for the lowest one): 0.799 eV/atom
# - Raw formation energy: 0.9 eV/f.u.

---

Entry 8:
# Pm6Ru2SCl3 | Alexandria via LeMat-Bulk | PBE | optimized geometry
data_Pm6Ru2SCl3
_cell_length_a 7.081
_cell_length_b 7.081
_cell_length_c 7.742
_cell_angle_alpha 98.75
_cell_angle_beta 98.75
_cell_angle_gamma 120.01
_space_group_name_H-M_alt 'P 1'
_space_group_IT_number 1
_space_group_name_Hall 'P 1'
loop_
_atom_site_label
_atom_site_fract_x
_atom_site_fract_y
_atom_site_fract_z
Pm1 0.584 0.932 0.793
Pm2 0.280 0.280 0.794
Ru1 0.333 0.667 0.000
Cl1 0.500 0.500 0.500
Pm3 0.068 0.416 0.207
Cl2 0.837 0.163 0.500
Pm4 0.720 0.720 0.206
Pm5 0.416 0.068 0.207
S1 0.000 0.000 0.000
Pm6 0.932 0.584 0.793
Ru2 0.667 0.333 0.000
Cl3 0.163 0.837 0.500
# - Space group: C2/m (12)
# - M_tot: 0.000 Bohr magnetons per cell
# - Fermi-level density of states: 8.242 states/eV/f.u.
# - V: 26.7 Å³/atom
# - Raw formation energy: -14.2 eV/f.u.

---

no.,E (eV/atom)
1,-5.528
2,-2.923
3,-4.111
4,-2.334
5,-2.527
6,-6.656
7,-6.557
8,-5.910